# KH8Ir2, relaxed, DFT PBE
# Crystal system: monoclinic
# N(E_F) (states/eV/cell): 3.5
# VASP energy (eV per atom): -4.1928
# Calculated volume (Å³ per atom): 8.2
# Total magnetization (μB per atom): 0.000
data_KH8Ir2
_chemical_formula_sum 'K2 H16 Ir4'
_cell_length_a 5.428
_cell_length_b 9.043
_cell_length_c 3.686
_cell_angle_alpha 90.00
_cell_angle_beta 90.05
_cell_angle_gamma 90.00
_symmetry_space_group_name_H-M 'C 1 2/m 1'
_symmetry_Int_Tables_number 12
loop_
_symmetry_equiv_pos_as_xyz
'x,y,z'
'-x,-y,-z'
'-x,y,-z'
'x,-y,z'
'x+1/2,y+1/2,z'
'-x+1/2,-y+1/2,-z'
'-x+1/2,y+1/2,-z'
'x+1/2,-y+1/2,z'
loop_
_atom_site_label
_atom_site_type_symbol
_atom_site_fract_x
_atom_site_fract_y
_atom_site_fract_z
_atom_site_occupancy
K1 K 0.000 0.000 0.000 1
H1 H 0.000 0.310 0.000 1
H2 H 0.009 0.500 0.729 1
H3 H 0.182 0.154 0.502 1
Ir1 Ir 0.000 0.326 0.500 1



# TbSm12Er3, relaxed, DFT PBE
# Crystal system: tetragonal
# N(E_F) (states/eV/cell): 23.5
# VASP energy (eV per atom): -4.6676
# Calculated volume (Å³ per atom): 33.0
# Energy of formation from the pure elements (eV/atom): 0.0167
# Total magnetization (μB per atom): 0.000
data_TbSm12Er3
_chemical_formula_sum 'Tb1 Sm12 Er3'
_cell_length_a 5.093
_cell_length_b 5.093
_cell_length_c 20.335
_cell_angle_alpha 90.00
_cell_angle_beta 90.00
_cell_angle_gamma 90.00
_symmetry_space_group_name_H-M 'P 4/m m m'
_symmetry_Int_Tables_number 123
_symmetry_space_group_name_Hall '-P 4 2'
loop_
_atom_site_label
_atom_site_type_symbol
_atom_site_fract_x
_atom_site_fract_y
_atom_site_fract_z
_atom_site_occupancy
Tb1 Tb 0.000 0.000 0.000 1
Sm1 Sm 0.000 0.500 0.126 1
Sm2 Sm 0.000 0.500 0.375 1
Sm3 Sm 0.500 0.500 0.000 1
Sm4 Sm 0.500 0.500 0.251 1
Sm5 Sm 0.500 0.500 0.500 1
Er1 Er 0.000 0.000 0.250 1
Er2 Er 0.000 0.000 0.500 1



# Pm5Ho2Te12, relaxed, DFT PBE
# Crystal system: monoclinic
# N(E_F) (states/eV/cell): 9.6
# VASP energy (eV per atom): -4.9074
# Calculated volume (Å³ per atom): 36.3
# Total magnetization (μB per atom): 0.000
data_Pm5Ho2Te12
_chemical_formula_sum 'Pm10 Ho4 Te24'
_cell_length_a 16.990
_cell_length_b 8.330
_cell_length_c 10.021
_cell_angle_alpha 90.00
_cell_angle_beta 103.12
_cell_angle_gamma 90.00
_symmetry_space_group_name_H-M 'C 1 2/m 1'
_symmetry_Int_Tables_number 12
loop_
_symmetry_equiv_pos_as_xyz
'x,y,z'
'-x,-y,-z'
'-x,y,-z'
'x,-y,z'
'x+1/2,y+1/2,z'
'-x+1/2,-y+1/2,-z'
'-x+1/2,y+1/2,-z'
'x+1/2,-y+1/2,z'
loop_
_atom_site_label
_atom_site_type_symbol
_atom_site_fract_x
_atom_site_fract_y
_atom_site_fract_z
_atom_site_occupancy
Pm1 Pm 0.000 0.000 0.000 1
Pm2 Pm 0.174 0.500 0.311 1
Pm3 Pm 0.210 0.500 0.855 1
Ho1 Ho 0.000 0.254 0.500 1
Te1 Te 0.013 0.500 0.728 1
Te2 Te 0.028 0.000 0.712 1
Te3 Te 0.146 0.253 0.063 1
Te4 Te 0.183 0.250 0.585 1



# LuHfZrNb, relaxed, DFT PBE
# Crystal system: cubic
# N(E_F) (states/eV/cell): 22.6
# VASP energy (eV per atom): -8.0821
# Calculated volume (Å³ per atom): 22.4
# Energy of formation from the pure elements (eV/atom): 0.1910
# Total magnetization (μB per atom): 0.000
data_LuHfZrNb
_chemical_formula_sum 'Lu4 Hf4 Zr4 Nb4'
_cell_length_a 7.098
_cell_length_b 7.098
_cell_length_c 7.098
_cell_angle_alpha 90.00
_cell_angle_beta 90.00
_cell_angle_gamma 90.00
_symmetry_space_group_name_H-M 'F -4 3 m'
_symmetry_Int_Tables_number 216
_symmetry_space_group_name_Hall 'F -4 2 3'
loop_
_atom_site_label
_atom_site_type_symbol
_atom_site_fract_x
_atom_site_fract_y
_atom_site_fract_z
_atom_site_occupancy
Lu1 Lu 0.000 0.000 0.000 1
Hf1 Hf 0.250 0.250 0.250 1
Zr1 Zr 0.250 0.250 0.750 1
Nb1 Nb 0.000 0.000 0.500 1



# CuHg2PbI, relaxed, DFT PBE
# Crystal system: tetragonal
# N(E_F) (states/eV/cell): 1.7
# VASP energy (eV per atom): -2.0012
# Calculated volume (Å³ per atom): 29.7
# Total magnetization (μB per atom): 0.000
data_CuHg2PbI
_chemical_formula_sum 'Cu1 Hg2 Pb1 I1'
_cell_length_a 5.198
_cell_length_b 5.198
_cell_length_c 5.501
_cell_angle_alpha 90.00
_cell_angle_beta 90.00
_cell_angle_gamma 90.00
_symmetry_space_group_name_H-M 'P 4/m m m'
_symmetry_Int_Tables_number 123
_symmetry_space_group_name_Hall '-P 4 2'
loop_
_atom_site_label
_atom_site_type_symbol
_atom_site_fract_x
_atom_site_fract_y
_atom_site_fract_z
_atom_site_occupancy
Cu1 Cu 0.000 0.000 0.000 1
Hg1 Hg 0.000 0.500 0.000 1
Pb1 Pb 0.000 0.000 0.500 1
I1 I 0.500 0.500 0.500 1



# BeTlSnCl2, relaxed, DFT PBE
# Crystal system: tetragonal
# N(E_F) (states/eV/cell): 1.3
# VASP energy (eV per atom): -2.5618
# Calculated volume (Å³ per atom): 36.0
# Polymorph energy (0 for the lowest one) (meV per atom): 403
# Total magnetization (μB per atom): 0.000
data_BeTlSnCl2
_chemical_formula_sum 'Be1 Tl1 Sn1 Cl2'
_cell_length_a 5.422
_cell_length_b 5.422
_cell_length_c 6.128
_cell_angle_alpha 90.00
_cell_angle_beta 90.00
_cell_angle_gamma 90.00
_symmetry_space_group_name_H-M 'P 4/m m m'
_symmetry_Int_Tables_number 123
_symmetry_space_group_name_Hall '-P 4 2'
loop_
_atom_site_label
_atom_site_type_symbol
_atom_site_fract_x
_atom_site_fract_y
_atom_site_fract_z
_atom_site_occupancy
Be1 Be 0.000 0.000 0.000 1
Tl1 Tl 0.500 0.500 0.000 1
Sn1 Sn 0.500 0.500 0.500 1
Cl1 Cl 0.000 0.500 0.500 1